# TbEr2Au | the Alexandria database | GGA-PBE | optimized geometry
# - energy of formation from the pure elements (eV/atom) = -0.453
# - relative energy among the computed polymorphs (meV/atom) = 0
# - total DFT energy (no corrections) (eV per atom) = -4.7110
data_TbEr2Au
_chemical_formula_sum 'Tb4 Er8 Au4'
_cell_length_a 6.642
_cell_length_b 6.932
_cell_length_c 9.696
_cell_angle_alpha 90.00
_cell_angle_beta 90.00
_cell_angle_gamma 90.00
_space_group_name_H-M_alt 'P 1'
_space_group_IT_number 1
_space_group_name_Hall 'P 1'
loop_
_atom_site_label
_atom_site_fract_x
_atom_site_fract_y
_atom_site_fract_z
_atom_site_occupancy
Er1 0.807 0.305 0.946 1
Er2 0.693 0.805 0.946 1
Er3 0.807 0.305 0.554 1
Er4 0.307 0.195 0.054 1
Er5 0.193 0.695 0.446 1
Er6 0.307 0.195 0.446 1
Er7 0.693 0.805 0.554 1
Er8 0.193 0.695 0.054 1
Au1 0.455 0.910 0.250 1
Au2 0.955 0.590 0.750 1
Au3 0.045 0.410 0.250 1
Au4 0.545 0.090 0.750 1
Tb1 0.883 0.009 0.250 1
Tb2 0.383 0.491 0.750 1
Tb3 0.617 0.509 0.250 1
Tb4 0.117 0.991 0.750 1

---

# Tb3Er3Au4 | the Alexandria database | GGA-PBE | optimized geometry
# - energy of formation from the pure elements (eV/atom) = -0.705
# - total DFT energy (no corrections) (eV per atom) = -4.7740
data_Tb3Er3Au4
_chemical_formula_sum 'Tb3 Er3 Au4'
_cell_length_a 3.780
_cell_length_b 8.167
_cell_length_c 8.167
_cell_angle_alpha 89.25
_cell_angle_beta 90.00
_cell_angle_gamma 90.00
_space_group_name_H-M_alt 'P 1'
_space_group_IT_number 1
_space_group_name_Hall 'P 1'
loop_
_atom_site_label
_atom_site_fract_x
_atom_site_fract_y
_atom_site_fract_z
_atom_site_occupancy
Er1 0.000 0.499 0.001 1
Er2 0.500 0.164 0.836 1
Er3 0.000 0.999 0.501 1
Au1 0.000 0.135 0.130 1
Au2 0.000 0.633 0.367 1
Au3 0.000 0.364 0.636 1
Au4 0.000 0.870 0.865 1
Tb1 0.500 0.662 0.665 1
Tb2 0.500 0.838 0.162 1
Tb3 0.500 0.335 0.338 1

---

# TbEr3Au | the Alexandria database | GGA-PBE | optimized geometry
# - energy of formation from the pure elements (eV/atom) = -0.227
# - total DFT energy (no corrections) (eV per atom) = -4.5467
data_TbEr3Au
_chemical_formula_sum 'Tb2 Er6 Au2'
_cell_length_a 7.081
_cell_length_b 7.081
_cell_length_c 7.750
_cell_angle_alpha 100.97
_cell_angle_beta 116.87
_cell_angle_gamma 107.28
_space_group_name_H-M_alt 'P 1'
_space_group_IT_number 1
_space_group_name_Hall 'P 1'
loop_
_atom_site_label
_atom_site_fract_x
_atom_site_fract_y
_atom_site_fract_z
_atom_site_occupancy
Er1 0.826 0.989 0.217 1
Er2 0.772 0.609 0.783 1
Er3 0.267 0.546 0.813 1
Er4 0.733 0.454 0.187 1
Er5 0.174 0.011 0.783 1
Er6 0.228 0.391 0.217 1
Au1 0.664 0.769 0.433 1
Au2 0.336 0.231 0.567 1
Tb1 0.697 0.082 0.779 1
Tb2 0.303 0.918 0.221 1

---

Q: Which V values were calculated for the entries above? A: 111.6, 252.1, 153.0, in Å³/f.u..